First-principles (PBE-GGA) data for AcAlBr6 after structural relaxation, as listed in the Alexandria database.

a = 7.0188 Å, b = 13.0879 Å, c = 6.9390 Å
α = 90.00°, β = 105.81°, γ = 90.00°
Space group C2/m (No. 12)
Inequivalent atoms, fractional coordinates:
Ac (0.0000, 0.0000, 0.0000)
Al (0.0000, 0.5000, 0.5000)
Br (0.2029, 0.3602, 0.7117)
Br (0.2356, 0.5000, 0.2746)

Properties
Volume, Å³/atom: 38.33
ΔE_f (raw), meV/atom: -1456